# 1
Computed, not measured: a geometry-optimized Tb7SmHo2 structure at the PBE-GGA level of DFT.

Output
raw total energy: -46.1 eV per cell
magnetization: 0.00 Bohr magnetons per cell
formation enthalpy at 0 K: 0.2 eV/f.u.
distance to the lowest polymorph of the same formula: 0 meV per atom

a = 6.1636 Å, b = 6.1668 Å, c = 9.4076 Å
α = 102.59°, β = 109.06°, γ = 99.55°
Last column: nearest neighbours and their distance in Å.
Space group P-1 (No. 2)
Unique sites:
Tb 0.0000 0.0000 0.0000  8 Tb 3.55-3.56, 4 Ho 3.55-3.56
Tb 0.2003 0.0001 0.3995  7 Tb 3.55-3.57, 3 Ho 3.55-3.57, 2 Sm 3.56
Tb 0.2005 0.5008 0.9005  8 Tb 3.54-3.57, 3 Ho 3.55-3.56, 1 Sm 3.56
Tb 0.3998 0.4999 0.2990  8 Tb 3.54-3.57, 2 Ho 3.55-3.56, 2 Sm 3.56
Sm 0.0000 0.5000 0.5000  10 Tb 3.56, 2 Ho 3.57
Ho 0.4003 0.0008 0.8008  1 Ho 3.55, 10 Tb 3.55-3.57, 1 Sm 3.57



# 2
Computed, not measured: a geometry-optimized Ba3Sr2I3N2 structure at the PBE-GGA level of DFT.

Output
raw total energy: -82.3 eV per cell
magnetization: 0.00 Bohr magnetons per cell
uncorrected formation energy: -10.72 eV per formula unit

a = 4.9711 Å, b = 4.9711 Å, c = 29.7710 Å
α = 90.00°, β = 90.00°, γ = 90.00°
Last column: nearest neighbours and their distance in Å.
Space group I4/mmm (No. 139)
Unique sites:
Ba 0.0000 0.0000 0.0000  6 I 3.52-3.57
Ba 0.0000 0.0000 0.3622  1 N 2.39
Sr 0.0000 0.5000 0.2500  4 N 2.66
I 0.0000 0.0000 0.1200  5 Ba 3.55-3.57
I 0.0000 0.0000 0.5000  4 Ba 3.52
N 0.0000 0.0000 0.2820  1 Ba 2.39, 4 Sr 2.66



# 3
Computed, not measured: a geometry-optimized LuPaH structure at the PBE-GGA level of DFT.

Output
raw total energy: -34.3 eV per cell
magnetization: 0.00 Bohr magnetons per cell
distance to the lowest polymorph of the same formula: 199 meV per atom

a = 3.1337 Å, b = 3.1337 Å, c = 11.8387 Å
α = 90.00°, β = 90.00°, γ = 90.00°
Last column: nearest neighbours and their distance in Å.
Space group I4mm (No. 107)
Unique sites:
Lu 0.0000 0.0000 0.0000  4 H 2.23
Pa 0.0000 0.0000 0.2883  1 H 2.21
H 0.0000 0.0000 0.4754  1 Pa 2.21, 4 Lu 2.23